LiTaHg (PBE, optimized geometry); SG = Cmcm, No. 63; distance to the lowest polymorph of the same formula = 186 kJ/mol of formula units; uncorrected energy = -48.23 eV per cell; calculated volume = 17.4 A^3/atom; formation energy from the elements = 15.45 kcal/mol of atoms
1.0
-1.437 7.139 -2.183
-2.054 -1.883 -4.805
-4.499 -0.283 2.034
Li Ta Hg
4 4 4
Direct
0.711 0.250 0.000 Li
0.289 0.750 0.000 Li
0.789 0.750 0.500 Li
0.211 0.250 0.500 Li
0.123 0.750 0.500 Ta
0.877 0.250 0.500 Ta
0.623 0.750 0.000 Ta
0.377 0.250 0.000 Ta
0.000 0.000 0.000 Hg
0.500 0.500 0.500 Hg
0.500 0.000 0.500 Hg
0.000 0.500 0.000 Hg